(1)
# Ce3Nd3YSe8, optimized geometry, DFT GGA-PBE
data_Ce3Nd3YSe8
_chemical_formula_sum 'Ce9 Nd9 Y3 Se24'
_cell_length_a 8.4053
_cell_length_b 8.4053
_cell_length_c 20.6123
_cell_angle_alpha 90.00
_cell_angle_beta 90.00
_cell_angle_gamma 120.00
_symmetry_space_group_name_H-M 'R -3 m'
_symmetry_Int_Tables_number 166
_symmetry_space_group_name_Hall '-R 3 2"'
loop_
_atom_site_label
_atom_site_fract_x
_atom_site_fract_y
_atom_site_fract_z
Ce1 0.0000 0.5000 0.0000
Nd1 0.0000 0.5000 0.5000
Y1 0.0000 0.0000 0.0000
Se1 0.0000 0.0000 0.2505
Se2 0.0041 0.5021 0.7484
# - Crystal system: trigonal
# - E_form (uncorrected): -27.96 eV per formula unit

***

(2)
# MnCoMo, optimized geometry, DFT GGA-PBE
data_MnCoMo
_chemical_formula_sum 'Mn1 Co1 Mo1'
_cell_length_a 4.1636
_cell_length_b 4.1636
_cell_length_c 2.5962
_cell_angle_alpha 90.00
_cell_angle_beta 90.00
_cell_angle_gamma 120.00
_symmetry_space_group_name_H-M 'P 3 m 1'
_symmetry_Int_Tables_number 156
loop_
_symmetry_equiv_pos_as_xyz
'x,y,z'
'-y,x-y,z'
'-x+y,-x,z'
'-y,-x,z'
'-x+y,y,z'
'x,x-y,z'
loop_
_atom_site_label
_atom_site_fract_x
_atom_site_fract_y
_atom_site_fract_z
Mn1 0.0000 0.0000 0.0000
Co1 0.3333 0.6667 0.6930
Mo1 0.6667 0.3333 0.3389
# - Crystal system: trigonal
# - Relative energy among the computed polymorphs: 0.130 eV/atom

***

(3)
# Pu6Ge5Au, optimized geometry, DFT GGA-PBE
data_Pu6Ge5Au
_chemical_formula_sum 'Pu12 Ge10 Au2'
_cell_length_a 5.501
_cell_length_b 16.511
_cell_length_c 5.845
_cell_angle_alpha 90.00
_cell_angle_beta 90.00
_cell_angle_gamma 90.00
_symmetry_space_group_name_H-M 'C m m m'
_symmetry_Int_Tables_number 65
_symmetry_space_group_name_Hall '-C 2 2'
loop_
_atom_site_label
_atom_site_fract_x
_atom_site_fract_y
_atom_site_fract_z
Pu1 0.000 0.000 0.243
Pu2 0.000 0.329 0.247
Ge1 0.000 0.164 0.500
Ge2 0.000 0.166 0.000
Ge3 0.000 0.500 0.000
Au1 0.000 0.500 0.500
# - Crystal system: orthorhombic
# - Total energy: -117.37 eV per formula unit

***

(4)
# AcCuBiRu, optimized geometry, DFT GGA-PBE
data_AcCuBiRu
_chemical_formula_sum 'Ac4 Cu4 Bi4 Ru4'
_cell_length_a 7.142
_cell_length_b 7.142
_cell_length_c 7.142
_cell_angle_alpha 90.00
_cell_angle_beta 90.00
_cell_angle_gamma 90.00
_symmetry_space_group_name_H-M 'F -4 3 m'
_symmetry_Int_Tables_number 216
_symmetry_space_group_name_Hall 'F -4 2 3'
loop_
_atom_site_label
_atom_site_fract_x
_atom_site_fract_y
_atom_site_fract_z
Ac1 0.000 0.000 0.000
Cu1 0.250 0.250 0.250
Bi1 0.000 0.000 0.500
Ru1 0.250 0.250 0.750
# - Crystal system: cubic
# - Total energy: -21.01 eV per formula unit

***

(5)
# AgTe2Br, optimized geometry, DFT GGA-PBE
data_AgTe2Br
_chemical_formula_sum 'Ag1 Te2 Br1'
_cell_length_a 4.788
_cell_length_b 4.276
_cell_length_c 6.363
_cell_angle_alpha 90.00
_cell_angle_beta 111.74
_cell_angle_gamma 90.00
_symmetry_space_group_name_H-M 'P 1 2/m 1'
_symmetry_Int_Tables_number 10
loop_
_symmetry_equiv_pos_as_xyz
'x,y,z'
'-x,-y,-z'
'-x,y,-z'
'x,-y,z'
loop_
_atom_site_label
_atom_site_fract_x
_atom_site_fract_y
_atom_site_fract_z
Ag1 0.000 0.000 0.000
Te1 0.387 0.500 0.170
Br1 0.000 0.000 0.500
# - Crystal system: monoclinic
# - E_form (uncorrected): -0.42 eV per formula unit

***

(6)
# Mg2FeTc, optimized geometry, DFT GGA-PBE
data_Mg2FeTc
_chemical_formula_sum 'Mg8 Fe4 Tc4'
_cell_length_a 6.158
_cell_length_b 6.158
_cell_length_c 6.158
_cell_angle_alpha 90.00
_cell_angle_beta 90.00
_cell_angle_gamma 90.00
_symmetry_space_group_name_H-M 'F -4 3 m'
_symmetry_Int_Tables_number 216
_symmetry_space_group_name_Hall 'F -4 2 3'
loop_
_atom_site_label
_atom_site_fract_x
_atom_site_fract_y
_atom_site_fract_z
Mg1 0.000 0.000 0.000
Mg2 0.250 0.250 0.250
Fe1 0.250 0.250 0.750
Tc1 0.000 0.000 0.500
# - Crystal system: cubic
# - Relative energy among the computed polymorphs: 0.201 eV/atom

***

(7)
# K3Tl2Sn7, optimized geometry, DFT GGA-PBE
data_K3Tl2Sn7
_chemical_formula_sum 'K9 Tl6 Sn21'
_cell_length_a 6.7162
_cell_length_b 6.7162
_cell_length_c 30.1262
_cell_angle_alpha 90.00
_cell_angle_beta 90.00
_cell_angle_gamma 120.00
_symmetry_space_group_name_H-M 'R -3 m'
_symmetry_Int_Tables_number 166
_symmetry_space_group_name_Hall '-R 3 2"'
loop_
_atom_site_label
_atom_site_fract_x
_atom_site_fract_y
_atom_site_fract_z
K1 0.0000 0.0000 0.0000
K2 0.0000 0.0000 0.1389
Tl1 0.0000 0.0000 0.3405
Sn1 0.0000 0.0000 0.5000
Sn2 0.0187 0.5094 0.9141
# - Crystal system: trigonal
# - Total energy: -37.53 eV per formula unit

***

(8)
# SrSi2Ir, optimized geometry, DFT GGA-PBE
data_SrSi2Ir
_chemical_formula_sum 'Sr1 Si2 Ir1'
_cell_length_a 3.668
_cell_length_b 3.773
_cell_length_c 6.002
_cell_angle_alpha 90.00
_cell_angle_beta 90.15
_cell_angle_gamma 90.00
_symmetry_space_group_name_H-M 'P 1 m 1'
_symmetry_Int_Tables_number 6
loop_
_symmetry_equiv_pos_as_xyz
'x,y,z'
'x,-y,z'
loop_
_atom_site_label
_atom_site_fract_x
_atom_site_fract_y
_atom_site_fract_z
Sr1 0.000 0.000 0.000
Si1 0.498 0.500 0.719
Si2 0.501 0.000 0.461
Ir1 0.997 0.500 0.465
# - Crystal system: monoclinic
# - E_form (uncorrected): -1.27 eV per formula unit